VASP calculation (PBE) on KBeInF4 after structural relaxation.

a = 5.0580 Å, b = 6.0652 Å, c = 8.7823 Å
α = 90.00°, β = 107.55°, γ = 90.00°
Last column: nearest neighbours and their distance in Å.
Fractional positions:
1 K 0.8286 0.7500 0.5761  5 F 2.66-2.77
2 K 0.1714 0.2500 0.4239  5 F 2.66-2.77
3 Be 0.2399 0.7500 0.2777  4 F 1.56-1.58
4 Be 0.7601 0.2500 0.7223  4 F 1.56-1.58
5 In 0.6715 0.7500 0.0210  3 F 2.43-2.45
6 In 0.3285 0.2500 0.9790  3 F 2.43-2.45
7 F 0.9305 0.4557 0.8106  1 Be 1.58
8 F 0.0695 0.9557 0.1894  1 Be 1.58
9 F 0.0695 0.5443 0.1894  1 Be 1.58
10 F 0.9305 0.0443 0.8106  1 Be 1.58
11 F 0.5419 0.7500 0.2661  1 Be 1.56
12 F 0.4581 0.2500 0.7339  1 Be 1.56
13 F 0.2561 0.7500 0.4577  1 Be 1.56
14 F 0.7439 0.2500 0.5423  1 Be 1.56

Summary:
The raw formation energy comes out at -2.728 eV per atom.